Run one
Material: HfCrGe2
Method: DFT, PBE
State: relaxed

Geometry as POSCAR:
```
HfCrGe2
1.0
3.930 0.000 0.000
0.000 3.930 0.000
0.000 0.000 18.676
Hf Cr Ge
4 4 8
direct
0.000 0.000 0.000
0.000 0.500 0.250
0.500 0.000 0.750
0.500 0.500 0.500
0.000 0.000 0.500
0.000 0.500 0.750
0.500 0.000 0.250
0.500 0.500 0.000
0.221 0.250 0.625
0.250 0.721 0.875
0.250 0.779 0.375
0.279 0.250 0.125
0.721 0.750 0.125
0.750 0.221 0.375
0.750 0.279 0.875
0.779 0.750 0.625
```

Results
SG = No. 122

Run two
Material: HfCrGe2
Method: DFT, PBE
State: relaxed

Geometry as POSCAR:
```
HfCrGe2
1.0
6.346 0.000 0.000
0.000 6.346 0.000
0.000 0.000 6.346
Hf Cr Ge
4 4 8
direct
0.000 0.000 0.000
0.000 0.500 0.500
0.500 0.000 0.500
0.500 0.500 0.000
0.000 0.000 0.500
0.000 0.500 0.000
0.500 0.000 0.000
0.500 0.500 0.500
0.250 0.250 0.250
0.250 0.250 0.750
0.250 0.750 0.250
0.250 0.750 0.750
0.750 0.250 0.250
0.750 0.250 0.750
0.750 0.750 0.250
0.750 0.750 0.750
```

Results
SG = No. 225

The winner here is run two, beating the second structure by 210 meV/atom.

Run one
Material: Cr3HgGe
Method: DFT, PBE
State: relaxed

Geometry as POSCAR:
```
Cr3HgGe
1.0
4.720 0.000 0.000
0.000 4.720 0.000
0.000 0.000 4.720
Cr Hg Ge
3 1 1
direct
0.000 0.000 0.500
0.000 0.500 0.000
0.500 0.000 0.000
0.500 0.500 0.500
0.000 0.000 0.000
```

Results
SG = No. 221

Run two
Material: Cr3HgGe
Method: DFT, PBE
State: relaxed

Geometry as POSCAR:
```
Cr3HgGe
1.0
5.087 0.000 0.000
0.000 5.087 0.000
0.000 0.000 5.087
Cr Hg Ge
3 1 1
direct
0.000 0.000 0.500
0.000 0.500 0.000
0.500 0.000 0.000
0.000 0.000 0.000
0.500 0.500 0.500
```

Results
SG = No. 221

The winner here is run one, beating the second structure by 616 meV/atom.

Run one
Material: CrGeI2
Method: DFT, PBE
State: relaxed

Geometry as POSCAR:
```
CrGeI2
1.0
7.926 0.000 0.000
0.000 7.926 0.000
0.000 0.000 7.645
Cr Ge I
4 4 8
direct
0.000 0.000 0.000
0.000 0.500 0.250
0.500 0.000 0.750
0.500 0.500 0.500
0.000 0.000 0.500
0.000 0.500 0.750
0.500 0.000 0.250
0.500 0.500 0.000
0.224 0.750 0.125
0.250 0.224 0.875
0.250 0.276 0.375
0.276 0.750 0.625
0.724 0.250 0.625
0.750 0.724 0.375
0.750 0.776 0.875
0.776 0.250 0.125
```

Results
SG = No. 122

Run two
Material: CrGeI2
Method: DFT, PBE
State: relaxed

Geometry as POSCAR:
```
CrGeI2
1.0
7.097 0.000 0.000
0.000 7.097 0.000
0.000 0.000 7.097
Cr Ge I
4 4 8
direct
0.000 0.000 0.000
0.000 0.500 0.500
0.500 0.000 0.500
0.500 0.500 0.000
0.000 0.000 0.500
0.000 0.500 0.000
0.500 0.000 0.000
0.500 0.500 0.500
0.250 0.250 0.250
0.250 0.250 0.750
0.250 0.750 0.250
0.250 0.750 0.750
0.750 0.250 0.250
0.750 0.250 0.750
0.750 0.750 0.250
0.750 0.750 0.750
```

Results
SG = No. 225

The winner here is run one, beating the second structure by 585 meV/atom.

Run one
Material: CrGe2I
Method: DFT, PBE
State: relaxed

Geometry as POSCAR:
```
CrGe2I
1.0
5.224 0.000 0.000
0.000 5.224 0.000
0.000 0.000 16.271
Cr Ge I
4 8 4
direct
0.000 0.000 0.000
0.000 0.500 0.250
0.500 0.000 0.750
0.500 0.500 0.500
0.079 0.250 0.125
0.250 0.579 0.375
0.250 0.921 0.875
0.421 0.250 0.625
0.579 0.750 0.625
0.750 0.079 0.875
0.750 0.421 0.375
0.921 0.750 0.125
0.000 0.000 0.500
0.000 0.500 0.750
0.500 0.000 0.250
0.500 0.500 0.000
```

Results
SG = No. 122

Run two
Material: CrGe2I
Method: DFT, PBE
State: relaxed

Geometry as POSCAR:
```
CrGe2I
1.0
6.778 0.000 0.000
0.000 6.778 0.000
0.000 0.000 6.778
Cr Ge I
4 8 4
direct
0.000 0.000 0.000
0.000 0.500 0.500
0.500 0.000 0.500
0.500 0.500 0.000
0.250 0.250 0.250
0.250 0.250 0.750
0.250 0.750 0.250
0.250 0.750 0.750
0.750 0.250 0.250
0.750 0.250 0.750
0.750 0.750 0.250
0.750 0.750 0.750
0.000 0.000 0.500
0.000 0.500 0.000
0.500 0.000 0.000
0.500 0.500 0.500
```

Results
SG = No. 225

The winner here is run one, beating the second structure by 592 meV/atom.